This record from Alexandria describes a relaxed structure of Si2POs. The functional is PBE-GGA.

CIF file:
```
data_Si2POs
_chemical_formula_sum 'Si2 P1 Os1'
_cell_length_a 2.914
_cell_length_b 3.601
_cell_length_c 5.154
_cell_angle_alpha 90.00
_cell_angle_beta 90.00
_cell_angle_gamma 90.00
_symmetry_space_group_name_H-M 'P m m m'
_symmetry_Int_Tables_number 47
loop_
_symmetry_equiv_pos_as_xyz
'x,y,z'
'-x,-y,-z'
'-x,-y,z'
'x,y,-z'
'x,-y,-z'
'-x,y,z'
'-x,y,-z'
'x,-y,z'
loop_
_atom_site_label
_atom_site_fract_x
_atom_site_fract_y
_atom_site_fract_z
_atom_site_occupancy
Si1 0.000 0.000 0.246 1
P1 0.500 0.500 0.000 1
Os1 0.500 0.500 0.500 1
```

Computed properties:
D(E_F) (states/eV per cell): 2.1
Energy (eV/atom): -6.54

This record from Alexandria describes a relaxed structure of SiP2Os2. The functional is PBE-GGA.

CIF file:
```
data_SiP2Os2
_chemical_formula_sum 'Si2 P4 Os4'
_cell_length_a 7.060
_cell_length_b 7.060
_cell_length_c 2.816
_cell_angle_alpha 90.00
_cell_angle_beta 90.00
_cell_angle_gamma 90.00
_symmetry_space_group_name_H-M 'P 4/m b m'
_symmetry_Int_Tables_number 127
_symmetry_space_group_name_Hall '-P 4 2ab'
loop_
_atom_site_label
_atom_site_fract_x
_atom_site_fract_y
_atom_site_fract_z
_atom_site_occupancy
Si1 0.000 0.000 0.000 1
P1 0.144 0.356 0.500 1
Os1 0.147 0.647 0.000 1
```

Computed properties:
D(E_F) (states/eV per cell): 5.2
Energy relative to the lowest polymorph listed for this composition (meV per atom): 28

This record from Alexandria describes a relaxed structure of Si2POs. The functional is PBE-GGA.

CIF file:
```
data_Si2POs
_chemical_formula_sum 'Si4 P2 Os2'
_cell_length_a 3.165
_cell_length_b 4.640
_cell_length_c 7.518
_cell_angle_alpha 90.00
_cell_angle_beta 90.00
_cell_angle_gamma 90.00
_symmetry_space_group_name_H-M 'I m m m'
_symmetry_Int_Tables_number 71
_symmetry_space_group_name_Hall '-I 2 2'
loop_
_atom_site_label
_atom_site_fract_x
_atom_site_fract_y
_atom_site_fract_z
_atom_site_occupancy
Si1 0.000 0.000 0.231 1
P1 0.000 0.500 0.500 1
Os1 0.000 0.500 0.000 1
```

Computed properties:
D(E_F) (states/eV per cell): 4.0
Energy (eV/atom): -6.55

This record from Alexandria describes a relaxed structure of Si2POs. The functional is PBE-GGA.

CIF file:
```
data_Si2POs
_chemical_formula_sum 'Si8 P4 Os4'
_cell_length_a 5.467
_cell_length_b 5.467
_cell_length_c 10.270
_cell_angle_alpha 90.00
_cell_angle_beta 90.00
_cell_angle_gamma 90.00
_symmetry_space_group_name_H-M 'I -4 2 d'
_symmetry_Int_Tables_number 122
_symmetry_space_group_name_Hall 'I -4 2bw'
loop_
_atom_site_label
_atom_site_fract_x
_atom_site_fract_y
_atom_site_fract_z
_atom_site_occupancy
Si1 0.250 0.250 0.125 1
P1 0.000 0.000 0.000 1
Os1 0.000 0.000 0.500 1
```

Computed properties:
D(E_F) (states/eV per cell): 12.8
Energy (eV/atom): -6.66